[1]
VASP calculation (PBE with a Hubbard U) on crystalline TlSnWO6 at its relaxed geometry.

Unit cell a=5.461 b=5.461 c=10.392 alpha=90.00 beta=90.00 gamma=120.00
Fractional coordinates of all 18 atoms:
Tl  0.000  0.000  0.000
Tl  0.000  0.000  0.500
Sn  0.333  0.667  0.250
Sn  0.667  0.333  0.750
W  0.333  0.667  0.750
W  0.667  0.333  0.250
O  0.017  0.390  0.645
O  0.017  0.628  0.855
O  0.372  0.390  0.855
O  0.372  0.983  0.645
O  0.390  0.017  0.145
O  0.390  0.372  0.355
O  0.610  0.628  0.645
O  0.610  0.983  0.855
O  0.628  0.017  0.355
O  0.628  0.610  0.145
O  0.983  0.372  0.145
O  0.983  0.610  0.355

Properties
Density of states at the Fermi level   0.368 states/eV/atom
Symmetry   P-31c, No. 163
Electronic total energy   -6.306 eV/atom
Total magnetization   0.000 μB/atom


[2]
VASP calculation (PBE with a Hubbard U) on crystalline TlSn2WO at its relaxed geometry.

Unit cell a=5.632 b=5.632 c=3.928 alpha=90.00 beta=90.00 gamma=90.00
Fractional coordinates of all 5 atoms:
Tl  0.000  0.000  0.000
Sn  0.000  0.500  0.500
Sn  0.500  0.000  0.500
W  0.500  0.500  0.000
O  0.500  0.500  0.500

Properties
Density of states at the Fermi level   0.554 states/eV/atom
Symmetry   P4/mmm, No. 123
Electronic total energy   -4.440 eV/atom
Total magnetization   0.549 μB/atom